Entry 1:
Density functional theory data (PBE) for a geometry-optimized ZrTa2In structure.

For the electronic total energy, the calculation gives -34.4 eV for the cell shown. The formation energy comes out at 0.137 eV per atom. The crystal system is monoclinic. As for the total magnetic moment: 0.00 μB/cell. The symmetry is Cm, No. 8.

Lattice parameters (Å, degrees): 5.2178 5.2178 5.4121 82.28 82.28 33.65
With the nearest neighbours (Å) after each atom.
Atoms (fractional coordinates):
Ta 0.0028 0.0028 0.0074  5 Ta 2.97-3.02, 3 In 3.03-3.09, 4 Zr 3.08-3.12
In 0.7458 0.7458 0.7498  3 Zr 2.99-3.06, 2 In 3.02, 7 Ta 3.03-3.15
Zr 0.4955 0.4955 0.5049  7 Ta 2.97-3.17, 3 In 2.99-3.06, 2 Zr 3.02
Ta 0.2558 0.2558 0.2378  3 Zr 2.97-3.17, 5 Ta 2.97-3.02, 4 In 3.06-3.15

Entry 2:
Density functional theory data (PBE) for a geometry-optimized PmPrNd2P4 structure.

For the electronic total energy, the calculation gives -53.0 eV for the cell shown. The formation energy comes out at -1.539 eV per atom. The crystal system is monoclinic. As for the total magnetic moment: 0.00 μB/cell. The symmetry is P2/m, No. 10.

Lattice parameters (Å, degrees): 4.1706 7.2174 7.2174 109.44 90.00 90.00
With the nearest neighbours (Å) after each atom.
Atoms (fractional coordinates):
P 0.5000 0.2521 0.2506  1 Pm 2.94, 3 Nd 2.94-2.95, 2 Pr 2.96
Nd 0.0000 0.5000 0.5000  6 P 2.94
Pr 0.0000 0.0000 0.0000  6 P 2.95-2.96
P 0.0000 0.7479 0.2494  3 Nd 2.94-2.96, 2 Pm 2.94, 1 Pr 2.95
Pm 0.5000 0.5000 0.0000  6 P 2.94
P 0.0000 0.2521 0.7506  3 Nd 2.94-2.96, 2 Pm 2.94, 1 Pr 2.95
Nd 0.5000 0.0000 0.5000  6 P 2.95-2.96
P 0.5000 0.7479 0.7494  1 Pm 2.94, 3 Nd 2.94-2.95, 2 Pr 2.96

Entry 3:
Density functional theory data (PBE) for a geometry-optimized La5Sc4Hg4 structure.

For the electronic total energy, the calculation gives -54.9 eV for the cell shown. The formation energy comes out at -0.285 eV per atom. The crystal system is tetragonal. As for the total magnetic moment: 0.00 μB/cell. The symmetry is I4/m, No. 87.

Lattice parameters (Å, degrees): 9.0898 9.0898 9.0898 94.25 94.25 148.40
With the nearest neighbours (Å) after each atom.
Atoms (fractional coordinates):
Hg 0.7432 0.0711 0.8143  3 Sc 2.88-3.08
Sc 0.5814 0.9041 0.4854  3 Hg 2.88-3.08, 1 Sc 3.11
La 0.0000 0.0000 0.0000  4 Hg 3.30
La 0.6942 0.6266 0.3208  5 Hg 3.24-3.57
La 0.6266 0.3058 0.9325  5 Hg 3.24-3.57
Sc 0.4186 0.0959 0.5146  3 Hg 2.88-3.08, 1 Sc 3.11
Sc 0.0959 0.5814 0.6773  3 Hg 2.88-3.08, 1 Sc 3.11
La 0.3734 0.6942 0.0675  5 Hg 3.24-3.57
Hg 0.2568 0.9289 0.1857  3 Sc 2.88-3.08
Sc 0.9041 0.4186 0.3227  3 Hg 2.88-3.08, 1 Sc 3.11
Hg 0.9289 0.7432 0.6720  3 Sc 2.88-3.08
Hg 0.0711 0.2568 0.3280  3 Sc 2.88-3.08
La 0.3058 0.3734 0.6792  5 Hg 3.24-3.57

Entry 4:
Density functional theory data (PBE) for a geometry-optimized Pm2Y3Ho6In structure.

For the electronic total energy, the calculation gives -59.7 eV for the cell shown. The formation energy comes out at -0.049 eV per atom. The crystal system is monoclinic. As for the total magnetic moment: 0.00 μB/cell. The symmetry is C2/m, No. 12.

Lattice parameters (Å, degrees): 6.0942 6.0942 11.7043 94.99 94.99 120.02
With the nearest neighbours (Å) after each atom.
Atoms (fractional coordinates):
Pm 0.6663 0.3337 0.0000  3 Pm 3.51-3.52, 3 In 3.52, 6 Ho 3.52-3.53
Ho 0.2449 0.2449 0.7509  6 Ho 3.46-3.55, 1 In 3.50, 3 Y 3.52-3.55, 2 Pm 3.53
Y 0.8335 0.1665 0.5000  6 Y 3.52, 6 Ho 3.52-3.56
Y 0.5000 0.5000 0.5000  6 Y 3.52, 6 Ho 3.53-3.55
Ho 0.0824 0.4101 0.2482  6 Ho 3.46-3.55, 1 In 3.49, 2 Pm 3.52, 3 Y 3.53-3.56
Ho 0.4101 0.0824 0.2482  6 Ho 3.46-3.55, 1 In 3.49, 2 Pm 3.52, 3 Y 3.53-3.56
In 0.0000 0.0000 0.0000  6 Ho 3.49-3.50, 6 Pm 3.52
Ho 0.5899 0.9176 0.7518  6 Ho 3.46-3.55, 1 In 3.49, 2 Pm 3.52, 3 Y 3.53-3.56
Pm 0.3337 0.6663 0.0000  3 Pm 3.51-3.52, 3 In 3.52, 6 Ho 3.52-3.53
Y 0.1665 0.8335 0.5000  6 Y 3.52, 6 Ho 3.52-3.56
Ho 0.9176 0.5899 0.7518  6 Ho 3.46-3.55, 1 In 3.49, 2 Pm 3.52, 3 Y 3.53-3.56
Ho 0.7551 0.7551 0.2491  6 Ho 3.46-3.55, 1 In 3.50, 3 Y 3.52-3.55, 2 Pm 3.53

Entry 5:
Density functional theory data (PBE) for a geometry-optimized Tb2Pr3Dy8 structure.

For the electronic total energy, the calculation gives -59.3 eV for the cell shown. The value obtained for the relative energy among the computed polymorphs is 0.0 kJ/mol of formula units. The formation energy comes out at 0.088 eV per atom. The crystal system is monoclinic. As for the total magnetic moment: 0.00 μB/cell. The symmetry is C2/m, No. 12.

Lattice parameters (Å, degrees): 5.5932 6.8392 11.7510 78.52 103.75 89.99
With the nearest neighbours (Å) after each atom.
Atoms (fractional coordinates):
Dy 0.0771 0.4065 0.1542  1 Tb 3.48, 6 Dy 3.49-3.87, 5 Pr 3.58-3.64
Dy 0.6680 0.4767 0.3357  7 Dy 3.34-3.61, 3 Tb 3.54-3.60, 1 Pr 3.60
Pr 0.4882 0.2893 0.9766  1 Pr 3.04, 1 Dy 3.27
Pr 0.0000 0.0000 0.0000  4 Pr 3.40, 2 Dy 3.58
Dy 0.3761 0.9848 0.7523  2 Pr 3.27-3.62, 1 Tb 3.36, 4 Dy 3.47-3.61
Pr 0.5118 0.7107 0.0234  1 Pr 3.04, 1 Dy 3.27
Tb 0.2293 0.1884 0.4582  9 Dy 3.36-3.68
Dy 0.8217 0.2650 0.6436  6 Dy 3.34-3.53, 4 Tb 3.53-3.68
Dy 0.6239 0.0152 0.2477  2 Pr 3.27-3.62, 1 Tb 3.36, 4 Dy 3.47-3.61
Tb 0.7707 0.8116 0.5418  9 Dy 3.36-3.68
Dy 0.9229 0.5935 0.8458  1 Tb 3.48, 6 Dy 3.49-3.87, 5 Pr 3.58-3.64
Dy 0.1783 0.7350 0.3564  6 Dy 3.34-3.53, 4 Tb 3.53-3.68
Dy 0.3320 0.5233 0.6643  7 Dy 3.34-3.61, 3 Tb 3.54-3.60, 1 Pr 3.60

> total magnetic moment of number 2 (PmPrNd2P4)?

0.00 μB/cell

> Number 2 is which compound?

PmPrNd2P4